# 1
A geometry-optimized HfRe2Au structure. Source: Alexandria via LeMat-Bulk, functional PBE.

a b c (Å): 3.875 3.875 19.897
angles (deg): 90.00 90.00 90.00
Space group I-42d (No. 122)
Inequivalent atoms, fractional coordinates:
Hf  0.000  0.000  0.000 (multiplicity 4)
Re  0.205  0.250  0.625 (multiplicity 8)
Au  0.000  0.000  0.500 (multiplicity 4)

Output
Final energy (eV/cell): -144.0
Offset from the most stable computed form (kJ per mole of atoms): 9.3
Energy of formation (eV/atom): 0.5295

# 2
A geometry-optimized CrSbMo2 structure. Source: Alexandria via LeMat-Bulk, functional PBE.

a b c (Å): 2.990 4.074 5.396
angles (deg): 90.00 98.04 90.00
Space group P2/m (No. 10)
Inequivalent atoms, fractional coordinates:
Cr  0.000  0.000  0.000 (multiplicity 1)
Sb  0.000  0.000  0.500 (multiplicity 1)
Mo  0.416  0.500  0.223 (multiplicity 2)

Output
ΔE_f (raw) (eV per atom): 0.334
Final energy (eV/cell): -34.1

# 3
A geometry-optimized TlAu structure. Source: Alexandria via LeMat-Bulk, functional PBE.

a b c (Å): 4.154 4.261 5.847
angles (deg): 90.00 107.41 90.00
Space group P2_1/m (No. 11)
Inequivalent atoms, fractional coordinates:
Tl  0.152  0.250  0.298 (multiplicity 2)
Au  0.391  0.250  0.830 (multiplicity 2)

Output
Final energy (eV/cell): -11.4
Energy of formation (eV/atom): -0.0383

# 4
A geometry-optimized Tl3CoPb structure. Source: Alexandria via LeMat-Bulk, functional PBE.

a b c (Å): 5.120 5.120 5.120
angles (deg): 90.00 90.00 90.00
Space group Pm-3m (No. 221)
Inequivalent atoms, fractional coordinates:
Tl  0.000  0.000  0.500 (multiplicity 3)
Co  0.000  0.000  0.000 (multiplicity 1)
Pb  0.500  0.500  0.500 (multiplicity 1)

Output
Final energy (eV/cell): -16.5
Offset from the most stable computed form (kJ per mole of atoms): 0.0
Energy of formation (eV/atom): 0.2828

# 5
A geometry-optimized CsHfTe2Cl structure. Source: Alexandria via LeMat-Bulk, functional PBE.

a b c (Å): 9.763 4.181 9.959
angles (deg): 90.00 105.74 90.00
Space group P2_1/m (No. 11)
Inequivalent atoms, fractional coordinates:
Cs  0.203  0.250  0.312 (multiplicity 2)
Hf  0.352  0.250  0.830 (multiplicity 2)
Te  0.339  0.750  0.038 (multiplicity 2)
Te  0.385  0.750  0.645 (multiplicity 2)
Cl  0.091  0.250  0.755 (multiplicity 2)

Output
ΔE_f (raw) (eV per atom): -1.251
Final energy (eV/cell): -50.4
Offset from the most stable computed form (kJ per mole of atoms): 0.0

# 6
A geometry-optimized Nd6Er5 structure. Source: Alexandria via LeMat-Bulk, functional PBE.

a b c (Å): 9.963 15.922 5.630
angles (deg): 90.00 124.32 90.00
Space group C2/m (No. 12)
Inequivalent atoms, fractional coordinates:
Nd  0.209  0.000  0.209 (multiplicity 4)
Nd  0.209  0.139  0.709 (multiplicity 8)
Er  0.000  0.201  0.000 (multiplicity 4)
Er  0.000  0.338  0.500 (multiplicity 4)
Er  0.000  0.500  0.000 (multiplicity 2)

Output
Final energy (eV/cell): -100.4
Offset from the most stable computed form (kJ per mole of atoms): 0.0
Energy of formation (eV/atom): 0.1090